A relaxed LiDy2Tc crystal, computed with PBE-GGA.

Output
Energy of formation from the pure elements in eV/f.u.: -0.2
Density of states at the Fermi level in states/eV/f.u.: 3.22
Crystal system: tetragonal
Final energy in eV per atom: -5.41

Structure (CIF):
```
data_LiDy2Tc
_chemical_formula_sum 'Li1 Dy2 Tc1'
_cell_length_a 3.465
_cell_length_b 3.465
_cell_length_c 7.881
_cell_angle_alpha 90.00
_cell_angle_beta 90.00
_cell_angle_gamma 90.00
_space_group_name_H-M_alt 'P 4/m m m'
_space_group_IT_number 123
_space_group_name_Hall '-P 4 2'
loop_
_atom_site_label
_atom_site_type_symbol
_atom_site_fract_x
_atom_site_fract_y
_atom_site_fract_z
_atom_site_occupancy
Li1 Li 0.000 0.000 0.000 1
Dy1 Dy 0.500 0.500 0.295 1
Tc1 Tc 0.000 0.000 0.500 1
```



A relaxed Rb2CaF crystal, computed with PBE-GGA.

Output
Energy relative to the elements, uncorrected in meV per atom: -1060.4
Density of states at the Fermi level in states/eV/f.u.: 3.79
Crystal system: tetragonal
Final energy in eV per atom: -2.51

Structure (CIF):
```
data_Rb2CaF
_chemical_formula_sum 'Rb8 Ca4 F4'
_cell_length_a 8.529
_cell_length_b 8.529
_cell_length_c 11.654
_cell_angle_alpha 90.00
_cell_angle_beta 90.00
_cell_angle_gamma 90.00
_space_group_name_H-M_alt 'I -4 2 d'
_space_group_IT_number 122
_space_group_name_Hall 'I -4 2bw'
loop_
_atom_site_label
_atom_site_type_symbol
_atom_site_fract_x
_atom_site_fract_y
_atom_site_fract_z
_atom_site_occupancy
Rb1 Rb 0.059 0.250 0.125 1
Ca1 Ca 0.000 0.000 0.500 1
F1 F 0.000 0.000 0.000 1
```



A relaxed Ac2CeTe crystal, computed with PBE-GGA.

Output
Energy relative to the elements, uncorrected in meV per atom: -198.9
Density of states at the Fermi level in states/eV/f.u.: 10.25
Crystal system: trigonal
Final energy in eV per atom: -4.52

Structure (CIF):
```
data_Ac2CeTe
_chemical_formula_sum 'Ac6 Ce3 Te3'
_cell_length_a 4.0450
_cell_length_b 4.0450
_cell_length_c 35.5364
_cell_angle_alpha 90.00
_cell_angle_beta 90.00
_cell_angle_gamma 120.00
_space_group_name_H-M_alt 'R -3 m'
_space_group_IT_number 166
_space_group_name_Hall '-R 3 2"'
loop_
_atom_site_label
_atom_site_type_symbol
_atom_site_fract_x
_atom_site_fract_y
_atom_site_fract_z
_atom_site_occupancy
Ac1 Ac 0.0000 0.0000 0.1011 1
Ce1 Ce 0.0000 0.0000 0.0000 1
Te1 Te 0.0000 0.0000 0.5000 1
```



Number 1: E above lowest polymorph 0 meV/atom. Number 2: E above lowest polymorph 0 meV/atom. Number 3: E above lowest polymorph 278 meV/atom.